[1]
# Ag2PCl | the Alexandria database | PBE | optimized geometry
data_Ag2PCl
_chemical_formula_sum 'Ag4 P2 Cl2'
_cell_length_a 7.420
_cell_length_b 7.297
_cell_length_c 3.078
_cell_angle_alpha 90.00
_cell_angle_beta 103.62
_cell_angle_gamma 90.00
_space_group_name_H-M_alt 'P 1'
_space_group_IT_number 1
loop_
_space_group_symop_operation_xyz
'x,y,z'
loop_
_atom_site_label
_atom_site_fract_x
_atom_site_fract_y
_atom_site_fract_z
_atom_site_occupancy
Ag1 0.250 0.250 0.000 1
Ag2 0.250 0.750 0.000 1
Ag3 0.750 0.250 0.000 1
Ag4 0.750 0.750 0.000 1
P1 0.000 0.000 0.000 1
P2 0.500 0.500 0.000 1
Cl1 0.000 0.500 0.000 1
Cl2 0.500 0.000 0.000 1
# D(E_F), states/eV/f.u.: 2.82
# Final energy, eV per atom: -3.017
# Symmetry: C2/m, No. 12
# E_form (uncorrected), eV per formula unit: 0.89

[2]
# Pm4ThSb5 | the Alexandria database | PBE | optimized geometry
data_Pm4ThSb5
_chemical_formula_sum 'Pm4 Th1 Sb5'
_cell_length_a 16.208
_cell_length_b 16.208
_cell_length_c 16.208
_cell_angle_alpha 164.05
_cell_angle_beta 164.05
_cell_angle_gamma 22.64
_space_group_name_H-M_alt 'P 1'
_space_group_IT_number 1
loop_
_space_group_symop_operation_xyz
'x,y,z'
loop_
_atom_site_label
_atom_site_fract_x
_atom_site_fract_y
_atom_site_fract_z
_atom_site_occupancy
Pm1 0.102 0.102 0.000 1
Pm2 0.300 0.300 0.000 1
Pm3 0.700 0.700 0.000 1
Pm4 0.898 0.898 0.000 1
Th1 0.500 0.500 0.000 1
Sb1 0.000 0.000 0.000 1
Sb2 0.200 0.200 0.000 1
Sb3 0.400 0.400 0.000 1
Sb4 0.600 0.600 0.000 1
Sb5 0.800 0.800 0.000 1
# D(E_F), states/eV/f.u.: 2.59
# Final energy, eV per atom: -5.847
# Symmetry: I4/mmm, No. 139
# E_form (uncorrected), eV per formula unit: -11.43

[3]
# Ti3AlH | the Alexandria database | PBE | optimized geometry
data_Ti3AlH
_chemical_formula_sum 'Ti6 Al2 H2'
_cell_length_a 5.377
_cell_length_b 5.612
_cell_length_c 5.787
_cell_angle_alpha 106.85
_cell_angle_beta 100.69
_cell_angle_gamma 117.43
_space_group_name_H-M_alt 'P 1'
_space_group_IT_number 1
loop_
_space_group_symop_operation_xyz
'x,y,z'
loop_
_atom_site_label
_atom_site_fract_x
_atom_site_fract_y
_atom_site_fract_z
_atom_site_occupancy
Ti1 0.000 0.000 0.000 1
Ti2 0.009 0.999 0.498 1
Ti3 0.444 0.960 0.314 1
Ti4 0.487 0.494 0.984 1
Ti5 0.890 0.440 0.771 1
Ti6 0.912 0.434 0.294 1
Al1 0.430 0.934 0.810 1
Al2 0.482 0.508 0.477 1
H1 0.076 0.242 0.826 1
H2 0.956 0.721 0.148 1
# D(E_F), states/eV/f.u.: 3.58
# Final energy, eV per atom: -6.475
# Symmetry: P1, No. 1

- Which of these has the highest D(E_F)?
  Ti3AlH

- Number 2 is which compound?
  Pm4ThSb5